The following is a GGA-PBEsol calculation of crystalline LiIrRh2 at its relaxed geometry, from the Alexandria database.

a b c (Å): 2.6275 4.6302 4.6302
angles (deg): 110.31 90.00 90.00
Fractional coordinates of all 4 atoms:
Rh 0.0000 0.0000 0.5000
Rh 0.0000 0.5000 0.0000
Li 0.5000 0.5000 0.5000
Ir 0.5000 0.0000 0.0000

Energy of formation from the pure elements   -0.083 eV per atom
Volume   52.8 Å³/cell